Entry 1:
## Ga2Ni3Pt3 (PBE-GGA)

Data for a relaxed structure of Ga2Ni3Pt3.

Summary:
Calculated volume = 108.6 Å³/cell
Theoretical density = 13.774 g/cm3
Formation energy from the elements = -402 meV per atom
N(E_F) = 6.5 states/eV per cell

Cell lengths 3.8491, 3.8571, 7.3144 Å; angles 90.00, 90.00, 90.00 degrees
Fractional positions:
Ga  0.0000  0.0000  0.2433
Ga  0.0000  0.0000  0.7567
Ni  0.0000  0.5000  0.0000
Ni  0.5000  0.5000  0.2435
Ni  0.5000  0.5000  0.7565
Pt  0.0000  0.5000  0.5000
Pt  0.5000  0.0000  0.0000
Pt  0.5000  0.0000  0.5000

=====

Entry 2:
## Ba4AgW (PBE-GGA)

Data for a relaxed structure of Ba4AgW.

Summary:
Calculated volume = 250.7 Å³/cell
Theoretical density = 5.571 g/cm3
Formation energy from the elements = 1305 meV per atom
N(E_F) = 8.3 states/eV per cell

Cell lengths 7.0775, 7.0775, 7.0775 Å; angles 60.00, 60.00, 60.00 degrees
Fractional positions:
Ba  0.1246  0.1246  0.1246
Ba  0.1246  0.1246  0.6261
Ba  0.1246  0.6261  0.1246
Ba  0.6261  0.1246  0.1246
Ag  0.5000  0.5000  0.5000
W  0.7500  0.7500  0.7500

=====

Entry 3:
## SbCl6F2 (PBE-GGA)

Data for a relaxed structure of SbCl6F2.

Summary:
Calculated volume = 533.6 Å³/cell
Theoretical density = 2.318 g/cm3
ΔE_f (raw) = -479 meV per atom
N(E_F) = 6.7 states/eV per cell

Cell lengths 6.6509, 8.0402, 11.1859 Å; angles 90.00, 116.87, 90.00 degrees
Fractional positions:
Sb  0.0000  0.0000  0.0000
Sb  0.0000  0.5000  0.5000
Cl  0.0008  0.0013  0.7625
Cl  0.0008  0.4987  0.2625
Cl  0.2517  0.7270  0.5678
Cl  0.2517  0.7730  0.0678
Cl  0.3104  0.1824  0.0846
Cl  0.3104  0.3176  0.5846
Cl  0.6896  0.6824  0.4154
Cl  0.6896  0.8176  0.9154
Cl  0.7483  0.2270  0.9322
Cl  0.7483  0.2730  0.4322
Cl  0.9992  0.5013  0.7375
Cl  0.9992  0.9987  0.2375
F  0.0387  0.2488  0.2610
F  0.0387  0.2512  0.7610
F  0.9613  0.7488  0.2390
F  0.9613  0.7512  0.7390

=====

Entry 4:
## Hg4PBr2Cl (PBE-GGA)

Data for a relaxed structure of Hg4PBr2Cl.

Summary:
Calculated volume = 458.1 Å³/cell
Theoretical density = 7.456 g/cm3
ΔE_f (raw) = -137 meV per atom
N(E_F) = 5.1 states/eV per cell

Cell lengths 9.0781, 9.0781, 7.9968 Å; angles 115.86, 115.86, 103.00 degrees
Fractional positions:
Hg  0.1867  0.8130  0.5078
Hg  0.1870  0.8133  0.9922
Hg  0.2255  0.2286  0.9761
Hg  0.2286  0.2255  0.4761
Hg  0.7714  0.7745  0.5239
Hg  0.7745  0.7714  0.0239
Hg  0.8130  0.1867  0.0078
Hg  0.8133  0.1870  0.4922
P  0.0000  0.0000  0.0000
P  0.0000  0.0000  0.5000
Br  0.0000  0.5000  0.0000
Br  0.5000  0.0000  0.5000
Br  0.5000  0.5000  0.0000
Br  0.5000  0.5000  0.5000
Cl  0.0000  0.5000  0.5000
Cl  0.5000  0.0000  0.0000

=====

Entry 5:
## Ba4HgPdI2 (PBE-GGA)

Data for a relaxed structure of Ba4HgPdI2.

Summary:
Calculated volume = 349.7 Å³/cell
Theoretical density = 5.271 g/cm3
ΔE_f (raw) = -947 meV per atom
N(E_F) = 4.0 states/eV per cell

Cell lengths 8.2930, 4.7508, 9.3018 Å; angles 90.00, 107.40, 90.00 degrees
Fractional positions:
Ba  0.2237  0.0000  0.2066
Ba  0.2479  0.5000  0.7872
Ba  0.7521  0.5000  0.2128
Ba  0.7763  0.0000  0.7934
Hg  0.5000  0.0000  0.0000
Pd  0.0000  0.5000  0.0000
I  0.0000  0.0000  0.5000
I  0.5000  0.5000  0.5000

=====

Entry 6:
## LiCdMo (PBE-GGA)

Data for a relaxed structure of LiCdMo.

Summary:
Calculated volume = 51.7 Å³/cell
Theoretical density = 6.920 g/cm3
Formation energy from the elements = 334 meV per atom
N(E_F) = 3.4 states/eV per cell

Cell lengths 2.8248, 2.8248, 7.4759 Å; angles 90.00, 90.00, 120.00 degrees
Fractional positions:
Li  0.0000  0.0000  0.0000
Cd  0.3333  0.6667  0.6651
Mo  0.6667  0.3333  0.3210

=====

Entry 7:
## ErAlGaHg (PBE-GGA)

Data for a relaxed structure of ErAlGaHg.

Summary:
Calculated volume = 84.3 Å³/cell
Theoretical density = 9.152 g/cm3
Formation energy from the elements = -217 meV per atom
N(E_F) = 3.3 states/eV per cell

Cell lengths 4.9215, 4.9215, 4.9215 Å; angles 60.00, 60.00, 60.00 degrees
Fractional positions:
Er  0.0000  0.0000  0.0000
Al  0.5000  0.5000  0.5000
Ga  0.2500  0.2500  0.2500
Hg  0.7500  0.7500  0.7500

=====

Entry 8:
## Tm4Sc3Ga4 (PBE-GGA)

Data for a relaxed structure of Tm4Sc3Ga4.

Summary:
Calculated volume = 254.6 Å³/cell
Theoretical density = 7.105 g/cm3
Formation energy from the elements = -398 meV per atom
N(E_F) = 8.9 states/eV per cell

Cell lengths 9.8513, 9.8513, 9.8513 Å; angles 160.43, 127.06, 56.99 degrees
Fractional positions:
Tm  0.0208  0.8363  0.1845
Tm  0.3482  0.1637  0.1845
Tm  0.6518  0.8363  0.8155
Tm  0.9792  0.1637  0.8155
Sc  0.0000  0.5000  0.5000
Sc  0.4070  0.4070  0.0000
Sc  0.5930  0.5930  0.0000
Ga  0.2761  0.7761  0.5000
Ga  0.2783  0.0000  0.2783
Ga  0.7217  0.0000  0.7217
Ga  0.7239  0.2239  0.5000

=====

Entry 9:
## Ba3Zn2Hg2Au4 (PBE-GGA)

Data for a relaxed structure of Ba3Zn2Hg2Au4.

Summary:
Calculated volume = 324.9 Å³/cell
Theoretical density = 8.851 g/cm3
Formation energy from the elements = -466 meV per atom
N(E_F) = 8.6 states/eV per cell

Cell lengths 4.8230, 4.8230, 16.1295 Å; angles 90.00, 90.00, 120.00 degrees
Fractional positions:
Ba  0.0000  0.0000  0.0000
Ba  0.0000  0.0000  0.2730
Ba  0.0000  0.0000  0.7270
Zn  0.3333  0.6667  0.1351
Zn  0.6667  0.3333  0.8649
Hg  0.3333  0.6667  0.5687
Hg  0.6667  0.3333  0.4313
Au  0.3333  0.6667  0.3835
Au  0.3333  0.6667  0.8673
Au  0.6667  0.3333  0.1327
Au  0.6667  0.3333  0.6165

=====

Entry 10:
## SrTePb2 (PBE-GGA)

Data for a relaxed structure of SrTePb2.

Summary:
Calculated volume = 133.5 Å³/cell
Theoretical density = 7.830 g/cm3
ΔE_f (raw) = -555 meV per atom
N(E_F) = 2.1 states/eV per cell

Cell lengths 7.0016, 7.0016, 7.0016 Å; angles 143.38, 138.91, 56.20 degrees
Fractional positions:
Sr  0.0000  0.0000  0.0000
Te  0.5000  0.5000  0.0000
Pb  0.2727  0.7727  0.5000
Pb  0.7273  0.2273  0.5000

=====

Entry 11:
## PRh2W (PBE-GGA)

Data for a relaxed structure of PRh2W.

Summary:
Calculated volume = 57.1 Å³/cell
Theoretical density = 12.233 g/cm3
Formation energy from the elements = -292 meV per atom
N(E_F) = 1.6 states/eV per cell

Cell lengths 5.0357, 5.0357, 4.5799 Å; angles 114.45, 114.45, 33.03 degrees
Fractional positions:
P  0.0000  0.0000  0.0000
Rh  0.5052  0.5052  0.4115
Rh  0.7042  0.7042  0.0921
W  0.2816  0.2816  0.6513

=====

Entry 12:
## PaCdGe2 (PBE-GGA)

Data for a relaxed structure of PaCdGe2.

Summary:
Calculated volume = 132.1 Å³/cell
Theoretical density = 6.143 g/cm3
Formation energy from the elements = 344 meV per atom
N(E_F) = 6.8 states/eV per cell

Cell lengths 8.1871, 8.1871, 8.1871 Å; angles 31.38, 31.38, 31.38 degrees
Fractional positions:
Pa  0.0000  0.0000  0.0000
Cd  0.5000  0.5000  0.5000
Ge  0.3897  0.3897  0.3897
Ge  0.6103  0.6103  0.6103